# 1
Density functional theory data (PBE) for crystalline TlSeCl3 at its relaxed geometry.

a = 5.380 Å, b = 5.380 Å, c = 5.380 Å
α = 90.00°, β = 90.00°, γ = 90.00°
Positions (direct):
Tl (0.000, 0.000, 0.000)
Se (0.500, 0.500, 0.500)
Cl (0.000, 0.000, 0.500)
Cl (0.000, 0.500, 0.000)
Cl (0.500, 0.000, 0.000)

Calculated values
The value obtained for the energy above the most stable polymorph in this dataset is 516.9 meV per atom.

# 2
Density functional theory data (PBE) for crystalline TlSe2Cl at its relaxed geometry.

a = 7.369 Å, b = 7.369 Å, c = 2.868 Å
α = 90.00°, β = 90.00°, γ = 136.00°
Positions (direct):
Tl (0.000, 0.000, 0.000)
Se (0.000, 0.500, 0.500)
Se (0.500, 0.000, 0.500)
Cl (0.500, 0.500, 0.000)

Calculated values
The value obtained for the energy above the most stable polymorph in this dataset is 346.3 meV per atom.

# 3
Density functional theory data (PBE) for crystalline TlSeCl4 at its relaxed geometry.

a = 6.664 Å, b = 6.664 Å, c = 6.664 Å
α = 111.11°, β = 111.11°, γ = 106.23°
Positions (direct):
Tl (0.000, 0.000, 0.000)
Se (0.250, 0.750, 0.500)
Cl (0.024, 0.973, 0.499)
Cl (0.027, 0.526, 0.051)
Cl (0.474, 0.526, 0.501)
Cl (0.474, 0.976, 0.949)

Calculated values
The value obtained for the energy above the most stable polymorph in this dataset is 0.0 meV per atom.

# 4
Density functional theory data (PBE) for crystalline TlSe2Cl at its relaxed geometry.

a = 7.448 Å, b = 7.448 Å, c = 4.517 Å
α = 91.37°, β = 91.37°, γ = 32.44°
Positions (direct):
Tl (0.000, 0.000, 0.000)
Se (0.227, 0.227, 0.882)
Se (0.773, 0.773, 0.118)
Cl (0.500, 0.500, 0.500)

Calculated values
The value obtained for the energy above the most stable polymorph in this dataset is 0.0 meV per atom.

# 5
Density functional theory data (PBE) for crystalline TlSe2Cl at its relaxed geometry.

a = 3.645 Å, b = 3.645 Å, c = 8.994 Å
α = 90.00°, β = 90.00°, γ = 90.00°
Positions (direct):
Tl (0.000, 0.000, 0.000)
Se (0.000, 0.000, 0.540)
Se (0.500, 0.500, 0.625)
Cl (0.500, 0.500, 0.170)

Calculated values
The value obtained for the energy above the most stable polymorph in this dataset is 24.3 meV per atom.

# 6
Density functional theory data (PBE) for crystalline TlSe2Cl6 at its relaxed geometry.

a = 9.324 Å, b = 9.324 Å, c = 8.036 Å
α = 99.80°, β = 99.80°, γ = 79.75°
Positions (direct):
Tl (0.158, 0.842, 0.750)
Tl (0.842, 0.158, 0.250)
Se (0.086, 0.403, 0.798)
Se (0.403, 0.086, 0.298)
Se (0.597, 0.914, 0.702)
Se (0.914, 0.597, 0.202)
Cl (0.050, 0.183, 0.619)
Cl (0.115, 0.627, 0.017)
Cl (0.183, 0.050, 0.119)
Cl (0.251, 0.459, 0.653)
Cl (0.373, 0.885, 0.483)
Cl (0.459, 0.251, 0.153)
Cl (0.541, 0.749, 0.847)
Cl (0.627, 0.115, 0.517)
Cl (0.749, 0.541, 0.347)
Cl (0.817, 0.950, 0.881)
Cl (0.885, 0.373, 0.983)
Cl (0.950, 0.817, 0.381)

# 7
Density functional theory data (PBE) for crystalline TlSe2Cl at its relaxed geometry.

a = 4.002 Å, b = 4.002 Å, c = 7.272 Å
α = 90.00°, β = 90.00°, γ = 90.00°
Positions (direct):
Tl (0.000, 0.000, 0.000)
Se (0.000, 0.500, 0.500)
Se (0.500, 0.000, 0.500)
Cl (0.500, 0.500, 0.000)

Calculated values
The value obtained for the energy above the most stable polymorph in this dataset is 161.8 meV per atom.

# 8
Density functional theory data (PBE) for crystalline TlSe2Cl at its relaxed geometry.

a = 5.067 Å, b = 5.067 Å, c = 5.067 Å
α = 60.00°, β = 60.00°, γ = 60.00°
Positions (direct):
Tl (0.000, 0.000, 0.000)
Se (0.250, 0.250, 0.250)
Se (0.750, 0.750, 0.750)
Cl (0.500, 0.500, 0.500)

Calculated values
The value obtained for the energy above the most stable polymorph in this dataset is 692.1 meV per atom.

# 9
Density functional theory data (PBE) for crystalline TlSe2Cl at its relaxed geometry.

a = 7.146 Å, b = 7.146 Å, c = 7.146 Å
α = 120.15°, β = 120.15°, γ = 89.74°
Positions (direct):
Tl (0.000, 0.000, 0.000)
Tl (0.750, 0.250, 0.500)
Se (0.107, 0.625, 0.982)
Se (0.375, 0.357, 0.482)
Se (0.643, 0.125, 0.018)
Se (0.875, 0.893, 0.518)
Cl (0.250, 0.750, 0.500)
Cl (0.500, 0.500, 0.000)

Calculated values
The value obtained for the energy above the most stable polymorph in this dataset is 565.0 meV per atom.

# 10
Density functional theory data (PBE) for crystalline Tl3SeCl at its relaxed geometry.

a = 5.822 Å, b = 5.822 Å, c = 5.822 Å
α = 90.00°, β = 90.00°, γ = 90.00°
Positions (direct):
Tl (0.000, 0.000, 0.500)
Tl (0.000, 0.500, 0.000)
Tl (0.500, 0.000, 0.000)
Se (0.500, 0.500, 0.500)
Cl (0.000, 0.000, 0.000)

Calculated values
The value obtained for the energy above the most stable polymorph in this dataset is 343.4 meV per atom.

# 11
Density functional theory data (PBE) for crystalline TlSe2Cl at its relaxed geometry.

a = 7.803 Å, b = 7.803 Å, c = 7.803 Å
α = 150.30°, β = 150.30°, γ = 42.50°
Positions (direct):
Tl (0.000, 0.000, 0.000)
Se (0.250, 0.750, 0.500)
Se (0.750, 0.250, 0.500)
Cl (0.500, 0.500, 0.000)

Calculated values
The value obtained for the energy above the most stable polymorph in this dataset is 155.5 meV per atom.

# 12
Density functional theory data (PBE) for crystalline TlSeCl3 at its relaxed geometry.

a = 5.228 Å, b = 5.228 Å, c = 5.228 Å
α = 90.00°, β = 90.00°, γ = 90.00°
Positions (direct):
Tl (0.000, 0.000, 0.000)
Se (0.500, 0.500, 0.500)
Cl (0.000, 0.500, 0.500)
Cl (0.500, 0.000, 0.500)
Cl (0.500, 0.500, 0.000)

Calculated values
The value obtained for the energy above the most stable polymorph in this dataset is 88.2 meV per atom.

Number 1: VASP energy -2.2980 eV/atom, spin magnetization 2.6 μB per formula unit. Number 2: VASP energy -2.8031 eV/atom, spin magnetization 0.0 μB per formula unit. Number 3: VASP energy -2.7017 eV/atom, spin magnetization 1.0 μB per formula unit. Number 4: VASP energy -3.1495 eV/atom, spin magnetization 0.0 μB per formula unit. Number 5: VASP energy -3.1251 eV/atom, spin magnetization 0.0 μB per formula unit. Number 6: VASP energy -2.6884 eV/atom, spin magnetization 1.0 μB per formula unit. Number 7: VASP energy -2.9876 eV/atom, spin magnetization 0.0 μB per formula unit. Number 8: VASP energy -2.4574 eV/atom, spin magnetization 0.2 μB per formula unit. Number 9: VASP energy -2.5844 eV/atom, spin magnetization 0.0 μB per formula unit. Number 10: VASP energy -2.7029 eV/atom, spin magnetization 0.0 μB per formula unit. Number 11: VASP energy -2.9940 eV/atom, spin magnetization 0.0 μB per formula unit. Number 12: VASP energy -2.7267 eV/atom, spin magnetization 0.0 μB per formula unit.